## BaCdNO (PBE)

Data for BaCdNO after structural relaxation.

Structure (POSCAR):
```
BaCdNO
1.0
-0.5462 -5.6802 2.0742
6.4365 -0.9888 -1.0131
1.5896 2.6062 7.5559
Ba N Cd O
4 4 4 4
Direct
0.4886 0.4449 0.6631
0.4886 0.9449 0.3369
0.9886 0.5551 0.3369
0.9886 0.0551 0.6631
0.1602 0.8670 0.9336
0.1602 0.3670 0.0664
0.6602 0.6330 0.9336
0.6602 0.1330 0.0664
0.0056 0.5693 0.8883
0.5056 0.9307 0.8883
0.5056 0.4307 0.1117
0.0056 0.0693 0.1117
0.0480 0.4426 0.6346
0.5480 0.0574 0.6346
0.5480 0.5574 0.3654
0.0480 0.9426 0.3654
```

Summary:
Space-group type: No. 29
Energy relative to the lowest polymorph listed for this composition (meV per atom): 0

***

## Ho2InHg (PBE)

Data for Ho2InHg after structural relaxation.

Structure (POSCAR):
```
Ho2InHg
1.0
3.7102 0.0000 0.0000
0.0000 3.7102 0.0000
0.0000 0.0000 7.4735
Ho Hg In
2 1 1
Direct
0.0000 0.0000 0.2444
0.0000 0.0000 0.7556
0.5000 0.5000 0.0000
0.5000 0.5000 0.5000
```

Summary:
Space-group type: No. 123
DFT total energy (eV/cell): -14.1

***

## CsHgPt (PBE)

Data for CsHgPt after structural relaxation.

Structure (POSCAR):
```
CsHgPt
1.0
2.3139 -3.4764 -3.1193
-1.0241 -5.0813 0.5483
-2.7818 -2.5042 -3.6276
Hg Cs Pt
1 1 1
Direct
0.7500 0.7500 0.7500
0.2500 0.2500 0.2500
0.0000 0.0000 0.0000
```

Summary:
Space-group type: No. 216
Energy relative to the lowest polymorph listed for this composition (meV per atom): 0

***

## HfCo (PBE)

Data for HfCo after structural relaxation.

Structure (POSCAR):
```
HfCo
1.0
2.1380 -1.0327 3.1611
-0.2180 2.1382 3.3182
-1.7890 -1.4876 3.1963
Co Hf
1 1
Direct
0.0000 0.0000 0.0000
0.2500 0.2500 0.2500
```

Summary:
Space-group type: No. 216
ΔH_f (0 K) (meV per atom): 910

***

## InReAg3S4 (PBE)

Data for InReAg3S4 after structural relaxation.

Structure (POSCAR):
```
InReAg3S4
1.0
6.1580 0.0000 0.0000
0.0000 6.1580 0.0000
0.0000 0.0000 6.1580
S Ag Re In
4 3 1 1
Direct
0.7193 0.7193 0.2807
0.2807 0.7193 0.7193
0.2807 0.2807 0.2807
0.7193 0.2807 0.7193
0.5000 0.0000 0.5000
0.0000 0.5000 0.5000
0.5000 0.5000 0.0000
0.5000 0.5000 0.5000
0.0000 0.0000 0.0000
```

Summary:
Space-group type: No. 215
DFT total energy (eV/cell): -39.6

***

## BeAlAg (PBE)

Data for BeAlAg after structural relaxation.

Structure (POSCAR):
```
BeAlAg
1.0
0.0000 2.9016 2.9016
2.9016 0.0000 2.9016
2.9016 2.9016 0.0000
Al Ag Be
1 1 1
Direct
0.2500 0.2500 0.2500
0.0000 0.0000 0.0000
0.7500 0.7500 0.7500
```

Summary:
Space-group type: No. 216
Energy relative to the lowest polymorph listed for this composition (meV per atom): 122

***

## HfAlTe2 (PBE)

Data for HfAlTe2 after structural relaxation.

Structure (POSCAR):
```
HfAlTe2
1.0
-4.8421 0.9546 1.4063
-3.4652 1.3983 -3.5173
-3.7472 -3.2400 -1.3399
Al Te Hf
1 2 1
Direct
0.7500 0.7500 0.7500
0.0000 0.0000 0.0000
0.2500 0.2500 0.2500
0.5000 0.5000 0.5000
```

Summary:
Space-group type: No. 216
DFT total energy (eV/cell): -18.8

***

## ZrAsPtO (PBE)

Data for ZrAsPtO after structural relaxation.

Structure (POSCAR):
```
ZrAsPtO
1.0
-0.5006 5.7516 0.8118
-5.7946 -0.4379 -0.4706
-0.3025 -0.6355 4.3156
As Zr O Pt
2 2 2 2
Direct
0.0000 0.5000 0.0079
0.5000 0.0000 0.9921
0.0000 0.0000 0.5000
0.5000 0.5000 0.5000
0.0000 0.0000 0.0000
0.5000 0.5000 0.0000
0.0000 0.5000 0.5079
0.5000 0.0000 0.4921
```

Summary:
Space-group type: No. 129
Energy relative to the lowest polymorph listed for this composition (meV per atom): 459

***

## LuMgPa (PBE)

Data for LuMgPa after structural relaxation.

Structure (POSCAR):
```
LuMgPa
1.0
-2.9910 -3.1969 -2.4520
-4.2616 1.6430 -2.0780
-0.4124 0.2776 -4.9931
Pa Lu Mg
1 1 1
Direct
0.7500 0.7500 0.7500
0.2500 0.2500 0.2500
0.0000 0.0000 0.0000
```

Summary:
Space-group type: No. 216
Energy relative to the lowest polymorph listed for this composition (meV per atom): 0

***

## Ni2Se3 (PBE)

Data for Ni2Se3 after structural relaxation.

Structure (POSCAR):
```
Ni2Se3
1.0
-6.2166 -0.1428 0.7669
3.0525 -5.1632 -1.8105
1.2756 -2.6955 9.8381
Se Ni
12 8
Direct
0.3320 0.3300 0.6209
0.3300 0.3320 0.1209
0.9980 0.3300 0.8791
0.3300 0.9980 0.3791
0.6700 0.0020 0.6209
0.3320 0.0020 0.8791
0.6680 0.6700 0.3791
0.6680 0.9980 0.1209
0.6700 0.6680 0.8791
0.0020 0.3320 0.3791
0.9980 0.6680 0.6209
0.0020 0.6700 0.1209
0.3333 0.6667 0.2500
0.3333 0.6667 0.9930
0.0000 0.0000 0.5000
0.6667 0.3333 0.7500
0.6667 0.3333 0.0070
0.0000 0.0000 0.0000
0.6667 0.3333 0.4930
0.3333 0.6667 0.5070
```

Summary:
Space-group type: No. 163
DFT total energy (eV/cell): -91.9

***

## Dy2ErSe3 (PBE)

Data for Dy2ErSe3 after structural relaxation.

Structure (POSCAR):
```
Dy2ErSe3
1.0
4.0425 0.0000 0.0000
-2.0212 3.5009 0.0000
0.0000 0.0000 9.9639
Se Dy Er
3 2 1
Direct
0.0000 0.0000 0.5000
0.3333 0.6667 0.1636
0.6667 0.3333 0.8364
0.6667 0.3333 0.3332
0.3333 0.6667 0.6668
0.0000 0.0000 0.0000
```

Summary:
Space-group type: No. 164
DFT total energy (eV/cell): -34.6

***

## Y6Mg9Co2 (PBE)

Data for Y6Mg9Co2 after structural relaxation.

Structure (POSCAR):
```
Y6Mg9Co2
1.0
-0.7214 8.1266 -3.1677
-14.5936 1.1130 6.1786
2.3077 2.1767 5.0587
Mg Y Co
18 12 4
Direct
0.0528 0.1618 0.7561
0.7896 0.2384 0.0000
0.6819 0.9304 0.5000
0.3181 0.0696 0.5000
0.5000 0.5000 0.0000
0.2104 0.7616 0.0000
0.4472 0.6618 0.2561
0.9472 0.8382 0.7561
0.0528 0.1618 0.2439
0.9472 0.8382 0.2439
0.2896 0.2616 0.5000
0.1819 0.5696 0.0000
0.7104 0.7384 0.5000
0.0000 0.0000 0.5000
0.5528 0.3382 0.2561
0.4472 0.6618 0.7439
0.8181 0.4304 0.0000
0.5528 0.3382 0.7439
0.2109 0.9752 0.0000
0.5766 0.8416 0.0000
0.6662 0.1354 0.5000
0.2891 0.4752 0.5000
0.7109 0.5248 0.5000
0.0766 0.6584 0.5000
0.7891 0.0248 0.0000
0.1662 0.3646 0.0000
0.8338 0.6354 0.0000
0.4234 0.1584 0.0000
0.3338 0.8646 0.5000
0.9234 0.3416 0.5000
0.5000 0.0000 0.8022
0.0000 0.5000 0.3022
0.5000 0.0000 0.1978
0.0000 0.5000 0.6978
```

Summary:
Space-group type: No. 58
DFT total energy (eV/cell): -138.3

***

## PaMoAu (PBE)

Data for PaMoAu after structural relaxation.

Structure (POSCAR):
```
PaMoAu
1.0
0.0000 3.2316 3.2316
3.2316 0.0000 3.2316
3.2316 3.2316 0.0000
Mo Pa Au
1 1 1
Direct
0.0000 0.0000 0.0000
0.7500 0.7500 0.7500
0.2500 0.2500 0.2500
```

Summary:
Space-group type: No. 216
Energy relative to the lowest polymorph listed for this composition (meV per atom): 0
ΔH_f (0 K) (meV per atom): 454

***

## TbZrAsO (PBE)

Data for TbZrAsO after structural relaxation.

Structure (POSCAR):
```
TbZrAsO
1.0
-0.1012 -3.5674 1.8384
3.4645 0.8506 1.8413
-4.4507 3.5876 6.7168
Zr Tb As O
2 2 2 2
Direct
0.5000 0.0000 0.1215
0.0000 0.5000 0.8785
0.5000 0.5000 0.5000
0.0000 0.0000 0.5000
0.5000 0.0000 0.7362
0.0000 0.5000 0.2638
0.0000 0.0000 0.0000
0.5000 0.5000 0.0000
```

Summary:
Space-group type: No. 129
Energy relative to the lowest polymorph listed for this composition (meV per atom): 528

***

## Li2IrO4 (PBE)

Data for Li2IrO4 after structural relaxation.

Structure (POSCAR):
```
Li2IrO4
1.0
-0.0719 5.2978 -1.8343
-1.0740 5.3898 1.1109
4.5367 -0.9211 1.5723
O Li Ir
4 2 1
Direct
0.4278 0.4278 0.1548
0.1448 0.1448 0.3272
0.8552 0.8552 0.6728
0.5722 0.5722 0.8452
0.3350 0.3350 0.4221
0.6650 0.6650 0.5779
0.0000 0.0000 0.0000
```

Summary:
Space-group type: No. 12
Energy relative to the lowest polymorph listed for this composition (meV per atom): 0

***

## YCuGePd (PBE)

Data for YCuGePd after structural relaxation.

Structure (POSCAR):
```
YCuGePd
1.0
-3.5264 2.8581 1.1567
-0.4025 4.1812 -2.0732
-3.4757 0.7812 -3.0416
Y Pd Cu Ge
1 1 1 1
Direct
0.2500 0.2500 0.2500
0.5000 0.5000 0.5000
0.7500 0.7500 0.7500
0.0000 0.0000 0.0000
```

Summary:
Space-group type: No. 216
Energy relative to the lowest polymorph listed for this composition (meV per atom): 94

***

## LiBe2Au2 (PBE)

Data for LiBe2Au2 after structural relaxation.

Structure (POSCAR):
```
LiBe2Au2
1.0
-5.5836 -3.3468 -1.9915
3.5672 -2.9981 -4.9629
0.6521 -2.1338 1.7577
Au Be Li
4 4 2
Direct
0.8267 0.6733 0.5000
0.6733 0.1733 0.5000
0.1733 0.3267 0.5000
0.3267 0.8267 0.5000
0.1224 0.6224 0.0000
0.8776 0.3776 0.0000
0.3776 0.1224 0.0000
0.6224 0.8776 0.0000
0.5000 0.5000 0.0000
0.0000 0.0000 0.0000
```

Summary:
Space-group type: No. 127
Energy relative to the lowest polymorph listed for this composition (meV per atom): 0

***

## TlCuTe3Os (PBE)

Data for TlCuTe3Os after structural relaxation.

Structure (POSCAR):
```
TlCuTe3Os
1.0
-3.7046 -7.2364 1.8767
3.3700 -1.2872 1.6892
-0.9557 7.1328 7.3419
Cu Te Tl Os
2 6 2 2
Direct
0.5278 0.7500 0.1127
0.4722 0.2500 0.8873
0.7665 0.7500 0.3598
0.2335 0.2500 0.6402
0.3459 0.7500 0.3810
0.6951 0.7500 0.9413
0.3049 0.2500 0.0587
0.6541 0.2500 0.6190
0.0155 0.7500 0.7911
0.9845 0.2500 0.2089
0.5332 0.2500 0.3331
0.4668 0.7500 0.6669
```

Summary:
Space-group type: No. 11
Energy relative to the lowest polymorph listed for this composition (meV per atom): 0

***

## RbGdMo (PBE)

Data for RbGdMo after structural relaxation.

Structure (POSCAR):
```
RbGdMo
1.0
-3.9982 -3.3696 1.0648
-4.0484 -0.5082 -3.4389
-0.5392 -4.4836 -2.8426
Mo Rb Gd
1 1 1
Direct
0.0000 0.0000 0.0000
0.7500 0.7500 0.7500
0.2500 0.2500 0.2500
```

Summary:
Space-group type: No. 216
DFT total energy (eV/cell): -11.2

***

## PaNb2Au2 (PBE)

Data for PaNb2Au2 after structural relaxation.

Structure (POSCAR):
```
PaNb2Au2
1.0
-1.4986 -4.3131 5.8295
1.5404 0.0792 7.2424
-2.3279 3.5604 -6.0610
Nb Au Pa
2 2 1
Direct
0.7500 0.2500 0.5000
0.2500 0.7500 0.5000
0.4026 0.4026 0.0000
0.5974 0.5974 0.0000
0.0000 0.0000 0.0000
```

Summary:
Space-group type: No. 139
ΔH_f (0 K) (meV per atom): 4